A relaxed structure of Zr3Ta2Ga4. Source: Alexandria, functional PBE-GGA.

Values from the calculation:
Formation enthalpy at 0 K   -0.33 eV per atom
Calculated total energy   -7.157 eV/atom
Total magnetization   0.000 μB/f.u.

Cell lengths 3.8656, 6.2943, 8.4582 Å; angles 115.68, 90.00, 107.88 degrees
Fractional coordinates of all 9 atoms:
Zr1 0.6331 0.2662 0.6906
Zr2 0.3669 0.7338 0.3094
Zr3 0.0000 0.0000 0.0000
Ga1 0.2987 0.5975 0.9434
Ga2 0.7013 0.4025 0.0566
Ga3 0.9459 0.8918 0.6024
Ga4 0.0541 0.1082 0.3976
Ta1 0.6865 0.3730 0.3607
Ta2 0.3135 0.6270 0.6393